Entry from the Alexandria database: a geometry-optimized Nd2DyTl3S6 structure (PBE).

Unit cell a=7.1586 b=7.1586 c=7.8745 alpha=98.72 beta=98.72 gamma=119.99
Last column: nearest neighbours and their distance in Å.
Positions (direct):
Nd (0.1667, 0.8333, 0.0000)  6 S 2.85-2.86
Nd (0.8333, 0.1667, 0.0000)  6 S 2.85-2.86
Dy (0.5000, 0.5000, 0.0000)  6 S 2.77-2.78
Tl (0.0000, 0.0000, 0.5000)  6 S 3.25-3.31
Tl (0.3327, 0.6673, 0.5000)  6 S 3.25-3.31
Tl (0.6673, 0.3327, 0.5000)  6 S 3.25-3.31
S (0.1083, 0.4327, 0.7985)  1 Dy 2.77, 2 Nd 2.85
S (0.2432, 0.2432, 0.2033)  1 Dy 2.78, 2 Nd 2.86
S (0.4327, 0.1083, 0.7985)  1 Dy 2.77, 2 Nd 2.85
S (0.5673, 0.8917, 0.2015)  1 Dy 2.77, 2 Nd 2.85
S (0.7568, 0.7568, 0.7967)  1 Dy 2.78, 2 Nd 2.86
S (0.8917, 0.5673, 0.2015)  1 Dy 2.77, 2 Nd 2.85

Summary:
SG: C2/m (12)
Magnetization in μB/cell: 0.000
Total energy in eV/atom: -5.297

***

Entry from the Alexandria database: a geometry-optimized NdDyTl2S4 structure (PBE).

Unit cell a=7.1174 b=4.1065 c=7.8732 alpha=90.00 beta=107.50 gamma=90.00
Last column: nearest neighbours and their distance in Å.
Positions (direct):
Nd (0.0000, 0.0000, 0.0000)  6 S 2.84-2.85
Dy (0.5000, 0.5000, 0.0000)  6 S 2.77-2.78
Tl (0.0000, 0.5000, 0.5000)  6 S 3.30
Tl (0.5000, 0.0000, 0.5000)  6 S 3.23-3.24
S (0.2421, 0.5000, 0.2027)  1 Dy 2.77, 2 Nd 2.84
S (0.2747, 0.0000, 0.8007)  2 Dy 2.78, 1 Nd 2.85
S (0.7253, 0.0000, 0.1993)  2 Dy 2.78, 1 Nd 2.85
S (0.7579, 0.5000, 0.7973)  1 Dy 2.77, 2 Nd 2.84

Summary:
SG: P2/m (10)
Magnetization in μB/cell: 0.000
Total energy in eV/atom: -5.294

***

Copy entry 1 word for word.
Entry from the Alexandria database: a geometry-optimized Nd2DyTl3S6 structure (PBE).

Unit cell a=7.1586 b=7.1586 c=7.8745 alpha=98.72 beta=98.72 gamma=119.99
Last column: nearest neighbours and their distance in Å.
Positions (direct):
Nd (0.1667, 0.8333, 0.0000)  6 S 2.85-2.86
Nd (0.8333, 0.1667, 0.0000)  6 S 2.85-2.86
Dy (0.5000, 0.5000, 0.0000)  6 S 2.77-2.78
Tl (0.0000, 0.0000, 0.5000)  6 S 3.25-3.31
Tl (0.3327, 0.6673, 0.5000)  6 S 3.25-3.31
Tl (0.6673, 0.3327, 0.5000)  6 S 3.25-3.31
S (0.1083, 0.4327, 0.7985)  1 Dy 2.77, 2 Nd 2.85
S (0.2432, 0.2432, 0.2033)  1 Dy 2.78, 2 Nd 2.86
S (0.4327, 0.1083, 0.7985)  1 Dy 2.77, 2 Nd 2.85
S (0.5673, 0.8917, 0.2015)  1 Dy 2.77, 2 Nd 2.85
S (0.7568, 0.7568, 0.7967)  1 Dy 2.78, 2 Nd 2.86
S (0.8917, 0.5673, 0.2015)  1 Dy 2.77, 2 Nd 2.85

Summary:
SG: C2/m (12)
Magnetization in μB/cell: 0.000
Total energy in eV/atom: -5.297